Compound: KZrTe3
Source: Alexandria
Functional: PBE-GGA
Structure: optimized geometry

Results
Crystal system   cubic
ΔE_f (raw)   1.070 eV per atom
Calculated volume   187.1 Å³/cell
Magnetization   0.0 Bohr magnetons per cell

a b c (Å): 5.7195 5.7195 5.7195
angles (deg): 90.00 90.00 90.00
Closest atoms and distances in Å follow each position.
Atoms (fractional coordinates):
K 0.0000 0.0000 0.0000  6 Te 2.86
Te 0.0000 0.5000 0.0000  2 K 2.86
Te 0.0000 0.0000 0.5000  2 K 2.86
Te 0.5000 0.0000 0.0000  2 K 2.86
Zr 0.5000 0.5000 0.5000  12 Te 4.04

---

Compound: K2ZrTe
Source: Alexandria
Functional: PBE-GGA
Structure: optimized geometry

Results
Crystal system   tetragonal
ΔE_f (raw)   -0.141 eV per atom
Calculated volume   158.5 Å³/cell
Magnetization   0.0 Bohr magnetons per cell

a b c (Å): 3.7651 3.7651 11.1798
angles (deg): 90.00 90.00 90.00
Closest atoms and distances in Å follow each position.
Atoms (fractional coordinates):
K 0.0000 0.0000 0.9466  4 K 3.77, 4 Zr 4.06
K 0.5000 0.5000 0.3256  4 Te 3.70, 4 K 3.77, 1 Zr 3.88
Te 0.0000 0.0000 0.5549  4 Zr 2.97
Zr 0.5000 0.5000 0.6729  4 Te 2.97

---

Compound: KZr2Te4
Source: Alexandria
Functional: PBE-GGA
Structure: optimized geometry

Results
Crystal system   trigonal
ΔE_f (raw)   -0.934 eV per atom
Calculated volume   222.5 Å³/cell
Magnetization   0.0 Bohr magnetons per cell

a b c (Å): 4.0748 4.0748 15.6541
angles (deg): 82.52 82.52 60.00
Closest atoms and distances in Å follow each position.
Atoms (fractional coordinates):
K 0.0000 0.0000 0.0000  6 Te 3.46
Te 0.1308 0.1308 0.6077  3 Zr 2.92
Te 0.2787 0.2787 0.1638  3 Zr 2.97
Te 0.7213 0.7213 0.8362  3 Zr 2.97
Te 0.8692 0.8692 0.3923  3 Zr 2.92
Zr 0.4269 0.4269 0.7194  6 Te 2.92-2.97
Zr 0.5731 0.5731 0.2806  6 Te 2.92-2.97

---

Compound: KZrTe3
Source: Alexandria
Functional: PBE-GGA
Structure: optimized geometry

Results
Crystal system   monoclinic
ΔE_f (raw)   -0.791 eV per atom
Calculated volume   376.2 Å³/cell
Magnetization   0.0 Bohr magnetons per cell

a b c (Å): 3.8941 9.8842 10.0991
angles (deg): 98.98 90.00 101.36
Closest atoms and distances in Å follow each position.
Atoms (fractional coordinates):
K 0.6008 0.2017 0.4127  7 Te 3.60-3.67, 2 K 3.89
K 0.3992 0.7983 0.5873  7 Te 3.60-3.67, 2 K 3.89
Zr 0.8035 0.6071 0.1683  6 Te 2.84-3.01
Zr 0.1965 0.3929 0.8317  6 Te 2.84-3.01
Te 0.9436 0.8872 0.3048  1 Zr 2.84
Te 0.0564 0.1128 0.6952  1 Zr 2.84
Te 0.3440 0.6879 0.9817  3 Zr 2.90-3.01
Te 0.6560 0.3121 0.0183  3 Zr 2.90-3.01
Te 0.2436 0.4872 0.3272  2 Zr 2.88
Te 0.7564 0.5128 0.6727  2 Zr 2.88

---

Compound: KZr3Te6
Source: Alexandria
Functional: PBE-GGA
Structure: optimized geometry

Results
Crystal system   monoclinic
ΔE_f (raw)   -0.889 eV per atom
Calculated volume   641.6 Å³/cell
Magnetization   0.0 Bohr magnetons per cell

a b c (Å): 4.0198 12.9682 12.8682
angles (deg): 106.98 90.00 90.00
Closest atoms and distances in Å follow each position.
Atoms (fractional coordinates):
K 0.7500 0.6210 0.8919  8 Te 3.44-3.82
K 0.2500 0.3790 0.1081  8 Te 3.44-3.82
Zr 0.7500 0.3581 0.4773  6 Te 2.89-3.00
Zr 0.2500 0.6419 0.5227  6 Te 2.89-3.00
Zr 0.7500 0.7275 0.2978  6 Te 2.88-3.03
Zr 0.2500 0.2725 0.7022  6 Te 2.88-3.03
Zr 0.7500 0.9598 0.8522  6 Te 2.87-2.96
Zr 0.2500 0.0402 0.1478  6 Te 2.87-2.96
Te 0.7500 0.1633 0.5441  3 Zr 2.90-2.92
Te 0.2500 0.8367 0.4559  3 Zr 2.90-2.92
Te 0.7500 0.1441 0.0460  3 Zr 2.91-2.93
Te 0.2500 0.8559 0.9540  3 Zr 2.91-2.93
Te 0.7500 0.7535 0.6764  3 Zr 2.89-2.96
Te 0.2500 0.2465 0.3236  3 Zr 2.89-2.96
Te 0.7500 0.5269 0.3598  4 Zr 2.93-3.00
Te 0.2500 0.4731 0.6402  4 Zr 2.93-3.00
Te 0.7500 0.3493 0.8671  2 Zr 2.88
Te 0.2500 0.6507 0.1329  2 Zr 2.88
Te 0.7500 0.9412 0.2461  3 Zr 2.87-3.03
Te 0.2500 0.0588 0.7539  3 Zr 2.87-3.03

---

Compound: KTh3
Source: Alexandria
Functional: PBE-GGA
Structure: optimized geometry

Results
Crystal system   hexagonal
Calculated volume   286.4 Å³/cell
Magnetization   0.0 Bohr magnetons per cell
ΔH_f (0 K)   0.69 eV per atom

a b c (Å): 7.4272 7.4272 5.9960
angles (deg): 90.00 90.00 120.00
Closest atoms and distances in Å follow each position.
Atoms (fractional coordinates):
K 0.6667 0.3333 0.2500  12 Th 3.72-3.77
K 0.3333 0.6667 0.7500  12 Th 3.72-3.77
Th 0.8447 0.1553 0.7500  6 Th 3.46-3.60, 4 K 3.72-3.77
Th 0.3106 0.1553 0.7500  6 Th 3.46-3.60, 4 K 3.72-3.77
Th 0.8447 0.6894 0.7500  6 Th 3.46-3.60, 4 K 3.72-3.77
Th 0.1553 0.8447 0.2500  6 Th 3.46-3.60, 4 K 3.72-3.77
Th 0.6894 0.8447 0.2500  6 Th 3.46-3.60, 4 K 3.72-3.77
Th 0.1553 0.3106 0.2500  6 Th 3.46-3.60, 4 K 3.72-3.77

---

Compound: K4Th
Source: Alexandria
Functional: PBE-GGA
Structure: optimized geometry

Results
Crystal system   cubic
Calculated volume   395.1 Å³/cell
Magnetization   4.5 Bohr magnetons per cell
ΔH_f (0 K)   0.98 eV per atom

a b c (Å): 7.3379 7.3379 7.3379
angles (deg): 90.00 90.00 90.00
Closest atoms and distances in Å follow each position.
Atoms (fractional coordinates):
K 0.0000 0.0000 0.0000  12 K 5.19
K 0.5000 0.0000 0.5000  2 Th 3.67
K 0.0000 0.5000 0.5000  2 Th 3.67
K 0.5000 0.5000 0.0000  2 Th 3.67
Th 0.5000 0.5000 0.5000  6 K 3.67

---

Compound: KTh4
Source: Alexandria
Functional: PBE-GGA
Structure: optimized geometry

Results
Crystal system   cubic
Calculated volume   173.3 Å³/cell
Magnetization   0.0 Bohr magnetons per cell
ΔH_f (0 K)   1.44 eV per atom

a b c (Å): 5.5749 5.5749 5.5749
angles (deg): 90.00 90.00 90.00
Closest atoms and distances in Å follow each position.
Atoms (fractional coordinates):
K 0.5000 0.5000 0.5000  6 Th 2.79
Th 0.0000 0.0000 0.0000  12 Th 3.94
Th 0.5000 0.0000 0.5000  2 K 2.79
Th 0.0000 0.5000 0.5000  2 K 2.79
Th 0.5000 0.5000 0.0000  2 K 2.79